Entry 1:
The following is a PBE calculation of a relaxed Ba2SrAlHg crystal, from the Alexandria database.

extended XYZ file:
```
5
Lattice="6.6629 0.0000 0.0000 0.0000 5.1330 0.0000 0.0000 0.0000 6.6629" Properties=species:S:1:pos:R:3 pbc="T T T"
Sr 3.3314 2.5665 3.3314
Al 0.0000 2.5665 0.0000
Hg 0.0000 0.0000 0.0000
Ba 0.0000 0.0000 3.3314
Ba 3.3314 0.0000 0.0000
```

Spin magnetization in μB per formula unit: 0.00
Fermi-level density of states in states/eV/f.u.: 5.78
Energy of formation from the pure elements in meV per atom: -13.8



Entry 2:
The following is a PBE calculation of a relaxed BaAl2HgTe crystal, from the Alexandria database.

extended XYZ file:
```
5
Lattice="-0.6997 1.6541 5.9854 2.2253 -5.4570 1.7682 5.7838 2.3659 0.0223" Properties=species:S:1:pos:R:3 pbc="T T T"
Al 2.8919 1.1829 0.0112
Al -0.3499 0.8270 2.9927
Te 3.6547 -0.7185 3.8880
Hg 1.1127 -2.7285 0.8841
Ba 0.0000 0.0000 0.0000
```

Total DFT energy (no corrections) in eV per atom: -1.64
Spin magnetization in μB per formula unit: 0.00
Fermi-level density of states in states/eV/f.u.: 3.83



Entry 3:
The following is a PBE calculation of a relaxed BaAlTlHg2 crystal, from the Alexandria database.

extended XYZ file:
```
5
Lattice="5.2817 0.0000 0.0000 0.0000 5.2817 0.0000 0.0000 0.0000 5.6243" Properties=species:S:1:pos:R:3 pbc="T T T"
Tl 0.0000 0.0000 2.8121
Al 0.0000 0.0000 0.0000
Hg 0.0000 2.6408 0.0000
Hg 2.6408 0.0000 0.0000
Ba 2.6408 2.6408 2.8121
```

Spin magnetization in μB per formula unit: 0.00
Fermi-level density of states in states/eV/f.u.: 3.93
Energy of formation from the pure elements in meV per atom: -166.8



What is the Fermi-level density of states in the first record? 5.78 states/eV/f.u.